(1)
Computed, not measured: a relaxed structure of Li2Mg2Ag7 at the GGA-PBE level of DFT.

Values from the calculation:
Crystal system = orthorhombic
DOS at the Fermi energy = 3.0 states/eV per cell
Energy relative to the lowest polymorph listed for this composition = 0.022 eV per atom

Cell lengths 8.501, 8.501, 8.501 Å; angles 158.68, 71.98, 112.20 degrees
Fractional positions:
Li  0.000  0.000  0.000
Li  0.721  0.221  0.500
Mg  0.299  0.952  0.346
Mg  0.606  0.952  0.654
Ag  0.032  0.199  0.833
Ag  0.112  0.446  0.666
Ag  0.248  0.748  0.500
Ag  0.366  0.199  0.167
Ag  0.538  0.697  0.841
Ag  0.779  0.446  0.334
Ag  0.856  0.697  0.159



(2)
Computed, not measured: a relaxed structure of LiMgAg at the GGA-PBE level of DFT.

Values from the calculation:
Crystal system = trigonal
DOS at the Fermi energy = 1.7 states/eV per cell
Energy relative to the lowest polymorph listed for this composition = 0.034 eV per atom

Cell lengths 4.581, 4.581, 2.963 Å; angles 90.00, 90.00, 120.00 degrees
Fractional positions:
Li  0.000  0.000  0.000
Mg  0.333  0.667  0.371
Ag  0.667  0.333  0.775



(3)
Computed, not measured: a relaxed structure of Li3Mg8Ag at the GGA-PBE level of DFT.

Values from the calculation:
Crystal system = triclinic
DOS at the Fermi energy = 3.6 states/eV per cell
Final energy = -22.416 eV per cell

Cell lengths 5.864, 6.705, 6.818 Å; angles 89.92, 72.86, 73.42 degrees
Fractional positions:
Li  0.000  0.000  0.000
Li  0.000  0.000  0.500
Li  0.000  0.500  0.000
Mg  0.307  0.671  0.670
Mg  0.312  0.669  0.175
Mg  0.313  0.174  0.668
Mg  0.319  0.173  0.173
Mg  0.681  0.827  0.827
Mg  0.687  0.826  0.332
Mg  0.688  0.331  0.825
Mg  0.693  0.329  0.330
Ag  0.000  0.500  0.500



(4)
Computed, not measured: a relaxed structure of Li2MgAg at the GGA-PBE level of DFT.

Values from the calculation:
Crystal system = trigonal
DOS at the Fermi energy = 2.7 states/eV per cell
Final energy = -25.766 eV per cell

Cell lengths 3.040, 3.040, 28.073 Å; angles 90.00, 90.00, 120.00 degrees
Fractional positions:
Li  0.000  0.000  0.000
Li  0.000  0.000  0.181
Li  0.333  0.667  0.667
Li  0.333  0.667  0.847
Li  0.667  0.333  0.333
Li  0.667  0.333  0.514
Mg  0.000  0.000  0.757
Mg  0.333  0.667  0.424
Mg  0.667  0.333  0.090
Ag  0.000  0.000  0.590
Ag  0.333  0.667  0.257
Ag  0.667  0.333  0.924



(5)
Computed, not measured: a relaxed structure of Li2Mg4Ag5 at the GGA-PBE level of DFT.

Values from the calculation:
Crystal system = monoclinic
DOS at the Fermi energy = 3.1 states/eV per cell
Final energy = -25.225 eV per cell

Cell lengths 7.238, 7.238, 7.122 Å; angles 99.37, 99.37, 38.10 degrees
Fractional positions:
Li  0.097  0.097  0.423
Li  0.903  0.903  0.577
Mg  0.225  0.225  0.132
Mg  0.457  0.457  0.290
Mg  0.543  0.543  0.710
Mg  0.775  0.775  0.868
Ag  0.000  0.000  0.000
Ag  0.310  0.310  0.526
Ag  0.384  0.384  0.913
Ag  0.616  0.616  0.087
Ag  0.690  0.690  0.474



(6)
Computed, not measured: a relaxed structure of Li6MgAg2 at the GGA-PBE level of DFT.

Values from the calculation:
Crystal system = monoclinic
DOS at the Fermi energy = 4.2 states/eV per cell
Energy relative to the lowest polymorph listed for this composition = 0.013 eV per atom

Cell lengths 8.028, 8.028, 2.857 Å; angles 92.52, 92.52, 59.54 degrees
Fractional positions:
Li  0.158  0.501  0.977
Li  0.159  0.841  0.000
Li  0.499  0.842  0.023
Li  0.501  0.158  0.977
Li  0.841  0.159  0.000
Li  0.842  0.499  0.023
Mg  0.500  0.500  0.500
Ag  0.166  0.166  0.502
Ag  0.834  0.834  0.498



(7)
Computed, not measured: a relaxed structure of Li4MgAg at the GGA-PBE level of DFT.

Values from the calculation:
Crystal system = monoclinic
DOS at the Fermi energy = 5.6 states/eV per cell
Energy relative to the lowest polymorph listed for this composition = 0.001 eV per atom

Cell lengths 4.720, 8.072, 5.636 Å; angles 90.00, 90.14, 90.00 degrees
Fractional positions:
Li  0.001  0.167  0.265
Li  0.001  0.833  0.265
Li  0.499  0.333  0.735
Li  0.499  0.667  0.735
Li  0.501  0.333  0.265
Li  0.501  0.667  0.265
Li  0.999  0.167  0.735
Li  0.999  0.833  0.735
Mg  0.000  0.500  0.000
Mg  0.500  0.000  0.000
Ag  0.000  0.500  0.500
Ag  0.500  0.000  0.500



(8)
Computed, not measured: a relaxed structure of LiMgAg6 at the GGA-PBE level of DFT.

Values from the calculation:
Crystal system = monoclinic
DOS at the Fermi energy = 6.5 states/eV per cell
Energy relative to the lowest polymorph listed for this composition = 0.154 eV per atom

Cell lengths 8.145, 5.544, 7.408 Å; angles 90.00, 107.25, 90.00 degrees
Fractional positions:
Li  0.000  0.000  0.000
Li  0.500  0.500  0.000
Mg  0.000  0.500  0.500
Mg  0.500  0.000  0.500
Ag  0.137  0.000  0.429
Ag  0.201  0.245  0.804
Ag  0.201  0.755  0.804
Ag  0.299  0.255  0.196
Ag  0.299  0.745  0.196
Ag  0.363  0.500  0.571
Ag  0.637  0.500  0.429
Ag  0.701  0.255  0.804
Ag  0.701  0.745  0.804
Ag  0.799  0.245  0.196
Ag  0.799  0.755  0.196
Ag  0.863  0.000  0.571



(9)
Computed, not measured: a relaxed structure of LiMg3Ag12 at the GGA-PBE level of DFT.

Values from the calculation:
Crystal system = tetragonal
DOS at the Fermi energy = 5.8 states/eV per cell
Final energy = -43.093 eV per cell

Cell lengths 4.125, 4.125, 16.695 Å; angles 90.00, 90.00, 90.00 degrees
Fractional positions:
Li  0.000  0.000  0.000
Mg  0.000  0.000  0.246
Mg  0.000  0.000  0.500
Mg  0.000  0.000  0.754
Ag  0.000  0.500  0.121
Ag  0.000  0.500  0.373
Ag  0.000  0.500  0.627
Ag  0.000  0.500  0.879
Ag  0.500  0.000  0.121
Ag  0.500  0.000  0.373
Ag  0.500  0.000  0.627
Ag  0.500  0.000  0.879
Ag  0.500  0.500  0.000
Ag  0.500  0.500  0.247
Ag  0.500  0.500  0.500
Ag  0.500  0.500  0.753



(10)
Computed, not measured: a relaxed structure of Li7Mg2Ag2 at the GGA-PBE level of DFT.

Values from the calculation:
Crystal system = monoclinic
DOS at the Fermi energy = 3.6 states/eV per cell
Energy relative to the lowest polymorph listed for this composition = 0.015 eV per atom

Cell lengths 5.510, 5.510, 7.262 Å; angles 98.82, 98.82, 99.78 degrees
Fractional positions:
Li  0.000  0.000  0.000
Li  0.102  0.478  0.825
Li  0.143  0.143  0.402
Li  0.478  0.102  0.825
Li  0.522  0.898  0.175
Li  0.857  0.857  0.598
Li  0.898  0.522  0.175
Mg  0.313  0.687  0.500
Mg  0.687  0.313  0.500
Ag  0.391  0.391  0.157
Ag  0.609  0.609  0.843



(11)
Computed, not measured: a relaxed structure of Li4MgAg at the GGA-PBE level of DFT.

Values from the calculation:
Crystal system = monoclinic
DOS at the Fermi energy = 4.6 states/eV per cell
Energy relative to the lowest polymorph listed for this composition = 0.000 eV per atom

Cell lengths 5.721, 4.794, 8.210 Å; angles 90.00, 105.54, 90.00 degrees
Fractional positions:
Li  0.049  0.250  0.418
Li  0.209  0.750  0.917
Li  0.267  0.250  0.103
Li  0.436  0.750  0.558
Li  0.564  0.250  0.442
Li  0.733  0.750  0.897
Li  0.791  0.250  0.083
Li  0.951  0.750  0.582
Mg  0.387  0.250  0.766
Mg  0.613  0.750  0.234
Ag  0.111  0.750  0.240
Ag  0.889  0.250  0.760



(12)
Computed, not measured: a relaxed structure of Li2MgAg6 at the GGA-PBE level of DFT.

Values from the calculation:
Crystal system = monoclinic
DOS at the Fermi energy = 2.5 states/eV per cell
Energy relative to the lowest polymorph listed for this composition = 0.046 eV per atom

Cell lengths 8.270, 8.270, 2.869 Å; angles 99.41, 99.41, 56.38 degrees
Fractional positions:
Li  0.167  0.167  0.167
Li  0.833  0.833  0.833
Mg  0.500  0.500  0.500
Ag  0.143  0.520  0.330
Ag  0.182  0.818  0.000
Ag  0.480  0.857  0.670
Ag  0.520  0.143  0.330
Ag  0.818  0.182  0.000
Ag  0.857  0.480  0.670



(13)
Computed, not measured: a relaxed structure of Li6Mg5Ag2 at the GGA-PBE level of DFT.

Values from the calculation:
Crystal system = orthorhombic
DOS at the Fermi energy = 11.2 states/eV per cell
Final energy = -51.469 eV per cell

Cell lengths 9.405, 19.156, 3.009 Å; angles 90.00, 90.00, 90.00 degrees
Fractional positions:
Li  0.001  0.112  0.000
Li  0.160  0.359  0.500
Li  0.163  0.615  0.000
Li  0.337  0.115  0.000
Li  0.340  0.859  0.500
Li  0.499  0.612  0.000
Li  0.501  0.388  0.000
Li  0.660  0.141  0.500
Li  0.663  0.885  0.000
Li  0.837  0.385  0.000
Li  0.840  0.641  0.500
Li  0.999  0.888  0.000
Mg  0.000  0.500  0.500
Mg  0.089  0.753  0.500
Mg  0.171  0.998  0.500
Mg  0.329  0.498  0.500
Mg  0.411  0.253  0.500
Mg  0.500  0.000  0.500
Mg  0.589  0.747  0.500
Mg  0.671  0.502  0.500
Mg  0.829  0.002  0.500
Mg  0.911  0.247  0.500
Ag  0.162  0.230  0.000
Ag  0.338  0.730  0.000
Ag  0.662  0.270  0.000
Ag  0.838  0.770  0.000



(14)
Computed, not measured: a relaxed structure of Li6Mg2Ag at the GGA-PBE level of DFT.

Values from the calculation:
Crystal system = orthorhombic
DOS at the Fermi energy = 3.8 states/eV per cell
Energy relative to the lowest polymorph listed for this composition = 0.000 eV per atom

Cell lengths 7.047, 7.047, 3.939 Å; angles 90.00, 90.00, 120.20 degrees
Fractional positions:
Li  0.043  0.335  0.000
Li  0.202  0.202  0.500
Li  0.335  0.043  0.000
Li  0.665  0.957  0.000
Li  0.798  0.798  0.500
Li  0.957  0.665  0.000
Mg  0.310  0.690  0.500
Mg  0.690  0.310  0.500
Ag  0.500  0.500  0.000



(15)
Computed, not measured: a relaxed structure of Li8Mg2Ag3 at the GGA-PBE level of DFT.

Values from the calculation:
Crystal system = monoclinic
DOS at the Fermi energy = 4.8 states/eV per cell
Energy relative to the lowest polymorph listed for this composition = 0.058 eV per atom

Cell lengths 7.121, 7.121, 5.980 Å; angles 106.44, 106.44, 63.51 degrees
Fractional positions:
Li  0.078  0.702  0.319
Li  0.092  0.092  0.222
Li  0.298  0.922  0.681
Li  0.319  0.319  0.621
Li  0.681  0.681  0.379
Li  0.702  0.078  0.319
Li  0.908  0.908  0.778
Li  0.922  0.298  0.681
Mg  0.297  0.297  0.074
Mg  0.703  0.703  0.926
Ag  0.312  0.688  0.000
Ag  0.500  0.500  0.500
Ag  0.688  0.312  0.000



(16)
Computed, not measured: a relaxed structure of Li6MgAg10 at the GGA-PBE level of DFT.

Values from the calculation:
Crystal system = trigonal
DOS at the Fermi energy = 3.2 states/eV per cell
Final energy = -43.936 eV per cell

Cell lengths 7.710, 7.710, 5.624 Å; angles 90.00, 90.00, 120.00 degrees
Fractional positions:
Li  0.000  0.373  0.301
Li  0.000  0.627  0.699
Li  0.373  0.000  0.301
Li  0.373  0.373  0.699
Li  0.627  0.000  0.699
Li  0.627  0.627  0.301
Mg  0.000  0.000  0.500
Ag  0.000  0.288  0.819
Ag  0.000  0.712  0.181
Ag  0.288  0.000  0.819
Ag  0.288  0.288  0.181
Ag  0.333  0.667  0.000
Ag  0.333  0.667  0.500
Ag  0.667  0.333  0.000
Ag  0.667  0.333  0.500
Ag  0.712  0.000  0.181
Ag  0.712  0.712  0.819



(17)
Computed, not measured: a relaxed structure of LiMg2Ag at the GGA-PBE level of DFT.

Values from the calculation:
Crystal system = cubic
DOS at the Fermi energy = 5.9 states/eV per cell
Energy relative to the lowest polymorph listed for this composition = 0.000 eV per atom

Cell lengths 6.678, 6.678, 6.678 Å; angles 90.00, 90.00, 90.00 degrees
Fractional positions:
Li  0.000  0.000  0.000
Li  0.000  0.500  0.500
Li  0.500  0.000  0.500
Li  0.500  0.500  0.000
Mg  0.250  0.250  0.250
Mg  0.250  0.250  0.750
Mg  0.250  0.750  0.250
Mg  0.250  0.750  0.750
Mg  0.750  0.250  0.250
Mg  0.750  0.250  0.750
Mg  0.750  0.750  0.250
Mg  0.750  0.750  0.750
Ag  0.000  0.000  0.500
Ag  0.000  0.500  0.000
Ag  0.500  0.000  0.000
Ag  0.500  0.500  0.500



(18)
Computed, not measured: a relaxed structure of Li5Mg2Ag2 at the GGA-PBE level of DFT.

Values from the calculation:
Crystal system = orthorhombic
DOS at the Fermi energy = 9.2 states/eV per cell
Energy relative to the lowest polymorph listed for this composition = 0.000 eV per atom

Cell lengths 8.864, 8.864, 8.864 Å; angles 87.10, 100.79, 149.70 degrees
Fractional positions:
Li  0.170  0.045  0.214
Li  0.170  0.455  0.625
Li  0.212  0.276  0.436
Li  0.319  0.659  0.951
Li  0.319  0.868  0.160
Li  0.708  0.159  0.840
Li  0.708  0.368  0.049
Li  0.830  0.545  0.375
Li  0.830  0.955  0.786
Li  0.840  0.776  0.564
Mg  0.477  0.270  0.707
Mg  0.506  0.006  0.500
Mg  0.506  0.506  0.000
Mg  0.563  0.770  0.293
Ag  0.067  0.654  0.693
Ag  0.067  0.874  0.913
Ag  0.961  0.154  0.087
Ag  0.961  0.374  0.307



(19)
Computed, not measured: a relaxed structure of LiMg4Ag7 at the GGA-PBE level of DFT.

Values from the calculation:
Crystal system = monoclinic
DOS at the Fermi energy = 4.2 states/eV per cell
Energy relative to the lowest polymorph listed for this composition = 0.062 eV per atom

Cell lengths 5.763, 5.763, 10.381 Å; angles 115.01, 115.01, 50.59 degrees
Fractional positions:
Li  0.000  0.000  0.000
Mg  0.252  0.252  0.679
Mg  0.399  0.399  0.224
Mg  0.601  0.601  0.776
Mg  0.748  0.748  0.321
Ag  0.053  0.053  0.347
Ag  0.208  0.208  0.921
Ag  0.359  0.359  0.480
Ag  0.500  0.500  0.000
Ag  0.641  0.641  0.520
Ag  0.792  0.792  0.079
Ag  0.947  0.947  0.653



(20)
Computed, not measured: a relaxed structure of Li12Mg7Ag at the GGA-PBE level of DFT.

Values from the calculation:
Crystal system = cubic
DOS at the Fermi energy = 10.5 states/eV per cell
Energy relative to the lowest polymorph listed for this composition = 0.354 eV per atom

Cell lengths 8.924, 8.924, 8.924 Å; angles 109.47, 109.47, 109.47 degrees
Fractional positions:
Li  0.107  0.356  0.751
Li  0.249  0.605  0.356
Li  0.249  0.893  0.644
Li  0.356  0.249  0.605
Li  0.356  0.751  0.107
Li  0.395  0.644  0.751
Li  0.605  0.356  0.249
Li  0.644  0.249  0.893
Li  0.644  0.751  0.395
Li  0.751  0.107  0.356
Li  0.751  0.395  0.644
Li  0.893  0.644  0.249
Mg  0.000  0.000  0.500
Mg  0.000  0.500  0.000
Mg  0.000  0.500  0.500
Mg  0.500  0.000  0.000
Mg  0.500  0.000  0.500
Mg  0.500  0.500  0.000
Mg  0.500  0.500  0.500
Ag  0.000  0.000  0.000



(21)
Computed, not measured: a relaxed structure of Li2MgAg at the GGA-PBE level of DFT.

Values from the calculation:
Crystal system = orthorhombic
DOS at the Fermi energy = 2.1 states/eV per cell
Final energy = -16.659 eV per cell

Cell lengths 2.950, 4.883, 10.830 Å; angles 90.00, 90.00, 90.00 degrees
Fractional positions:
Li  0.000  0.000  0.234
Li  0.000  0.000  0.766
Li  0.500  0.500  0.266
Li  0.500  0.500  0.734
Mg  0.000  0.000  0.500
Mg  0.500  0.500  0.000
Ag  0.000  0.000  0.000
Ag  0.500  0.500  0.500